Run w
Density functional theory data (PBE) for a relaxed structure of RbOs2I.

```
data_RbOs2I
_chemical_formula_sum 'Rb2 Os4 I2'
_space_group_name_H-M_alt 'P 1'
_space_group_IT_number 1
_space_group_name_Hall 'P 1'
_cell_length_a 6.474
_cell_length_b 6.474
_cell_length_c 6.474
_cell_angle_alpha 104.34
_cell_angle_beta 104.34
_cell_angle_gamma 120.31
loop_
_atom_site_label
_atom_site_type_symbol
_atom_site_fract_x
_atom_site_fract_y
_atom_site_fract_z
Rb1 Rb 0.000 0.000 0.000
Rb2 Rb 0.750 0.250 0.500
Os1 Os 0.209 0.625 0.084
Os2 Os 0.375 0.459 0.584
Os3 Os 0.541 0.125 0.916
Os4 Os 0.875 0.791 0.416
I1 I 0.250 0.750 0.500
I2 I 0.500 0.500 0.000
```

Summary:
symmetry	I-42d (122)

Run x
Density functional theory data (PBE) for a relaxed structure of RbOs2I.

```
data_RbOs2I
_chemical_formula_sum 'Rb1 Os2 I1'
_space_group_name_H-M_alt 'P 1'
_space_group_IT_number 1
_space_group_name_Hall 'P 1'
_cell_length_a 4.847
_cell_length_b 4.847
_cell_length_c 4.847
_cell_angle_alpha 60.00
_cell_angle_beta 60.00
_cell_angle_gamma 60.00
loop_
_atom_site_label
_atom_site_type_symbol
_atom_site_fract_x
_atom_site_fract_y
_atom_site_fract_z
Rb1 Rb 0.000 0.000 0.000
Os1 Os 0.250 0.250 0.250
Os2 Os 0.750 0.750 0.750
I1 I 0.500 0.500 0.500
```

Summary:
symmetry	Fm-3m (225)

Decreasing stability: run w, run x

Run w
Density functional theory data (PBE) for a relaxed structure of RbSbOsI2.

```
data_RbSbOsI2
_chemical_formula_sum 'Rb1 Sb1 Os1 I2'
_space_group_name_H-M_alt 'P 1'
_space_group_IT_number 1
_space_group_name_Hall 'P 1'
_cell_length_a 5.872
_cell_length_b 5.872
_cell_length_c 5.014
_cell_angle_alpha 90.00
_cell_angle_beta 90.00
_cell_angle_gamma 90.00
loop_
_atom_site_label
_atom_site_type_symbol
_atom_site_fract_x
_atom_site_fract_y
_atom_site_fract_z
Rb1 Rb 0.000 0.000 0.000
Sb1 Sb 0.500 0.500 0.000
Os1 Os 0.500 0.500 0.500
I1 I 0.000 0.500 0.500
I2 I 0.500 0.000 0.500
```

Summary:
symmetry	P4/mmm (123)

Run x
Density functional theory data (PBE) for a relaxed structure of RbSbOsI2.

```
data_RbSbOsI2
_chemical_formula_sum 'Rb1 Sb1 Os1 I2'
_space_group_name_H-M_alt 'P 1'
_space_group_IT_number 1
_space_group_name_Hall 'P 1'
_cell_length_a 6.831
_cell_length_b 6.831
_cell_length_c 6.921
_cell_angle_alpha 90.00
_cell_angle_beta 90.00
_cell_angle_gamma 90.00
loop_
_atom_site_label
_atom_site_type_symbol
_atom_site_fract_x
_atom_site_fract_y
_atom_site_fract_z
Rb1 Rb 0.000 0.000 0.000
Sb1 Sb 0.000 0.000 0.500
Os1 Os 0.500 0.500 0.500
I1 I 0.000 0.500 0.000
I2 I 0.500 0.000 0.000
```

Summary:
symmetry	P4/mmm (123)

Decreasing stability: run w, run x

Run w
Density functional theory data (PBE) for a relaxed structure of RbSb2OsI.

```
data_RbSb2OsI
_chemical_formula_sum 'Rb1 Sb2 Os1 I1'
_space_group_name_H-M_alt 'P 1'
_space_group_IT_number 1
_space_group_name_Hall 'P 1'
_cell_length_a 6.253
_cell_length_b 6.253
_cell_length_c 6.275
_cell_angle_alpha 90.00
_cell_angle_beta 90.00
_cell_angle_gamma 90.00
loop_
_atom_site_label
_atom_site_type_symbol
_atom_site_fract_x
_atom_site_fract_y
_atom_site_fract_z
Rb1 Rb 0.000 0.000 0.000
Sb1 Sb 0.000 0.500 0.000
Sb2 Sb 0.500 0.000 0.000
Os1 Os 0.500 0.500 0.500
I1 I 0.000 0.000 0.500
```

Summary:
symmetry	P4/mmm (123)

Run x
Density functional theory data (PBE) for a relaxed structure of RbSb2OsI.

```
data_RbSb2OsI
_chemical_formula_sum 'Rb1 Sb2 Os1 I1'
_space_group_name_H-M_alt 'P 1'
_space_group_IT_number 1
_space_group_name_Hall 'P 1'
_cell_length_a 5.126
_cell_length_b 5.126
_cell_length_c 6.341
_cell_angle_alpha 90.00
_cell_angle_beta 90.00
_cell_angle_gamma 90.00
loop_
_atom_site_label
_atom_site_type_symbol
_atom_site_fract_x
_atom_site_fract_y
_atom_site_fract_z
Rb1 Rb 0.000 0.000 0.000
Sb1 Sb 0.000 0.500 0.500
Sb2 Sb 0.500 0.000 0.500
Os1 Os 0.500 0.500 0.500
I1 I 0.500 0.500 0.000
```

Summary:
symmetry	P4/mmm (123)

Decreasing stability: run x, run w

Run w
Density functional theory data (PBE) for a relaxed structure of ReOsI2.

```
data_ReOsI2
_chemical_formula_sum 'Re2 Os2 I4'
_space_group_name_H-M_alt 'P 1'
_space_group_IT_number 1
_space_group_name_Hall 'P 1'
_cell_length_a 7.224
_cell_length_b 7.224
_cell_length_c 7.224
_cell_angle_alpha 131.14
_cell_angle_beta 131.14
_cell_angle_gamma 71.60
loop_
_atom_site_label
_atom_site_type_symbol
_atom_site_fract_x
_atom_site_fract_y
_atom_site_fract_z
Re1 Re 0.000 0.000 0.000
Re2 Re 0.750 0.250 0.500
Os1 Os 0.250 0.750 0.500
Os2 Os 0.500 0.500 0.000
I1 I 0.127 0.625 0.002
I2 I 0.375 0.377 0.502
I3 I 0.623 0.125 0.998
I4 I 0.875 0.873 0.498
```

Summary:
symmetry	I-42d (122)

Run x
Density functional theory data (PBE) for a relaxed structure of ReOsI2.

```
data_ReOsI2
_chemical_formula_sum 'Re1 Os1 I2'
_space_group_name_H-M_alt 'P 1'
_space_group_IT_number 1
_space_group_name_Hall 'P 1'
_cell_length_a 4.771
_cell_length_b 4.771
_cell_length_c 4.771
_cell_angle_alpha 60.00
_cell_angle_beta 60.00
_cell_angle_gamma 60.00
loop_
_atom_site_label
_atom_site_type_symbol
_atom_site_fract_x
_atom_site_fract_y
_atom_site_fract_z
Re1 Re 0.000 0.000 0.000
Os1 Os 0.500 0.500 0.500
I1 I 0.250 0.250 0.250
I2 I 0.750 0.750 0.750
```

Summary:
symmetry	Fm-3m (225)

Decreasing stability: run w, run x

Run w
Density functional theory data (PBE) for a relaxed structure of ReOs3I.

```
data_ReOs3I
_chemical_formula_sum 'Re1 Os3 I1'
_space_group_name_H-M_alt 'P 1'
_space_group_IT_number 1
_space_group_name_Hall 'P 1'
_cell_length_a 4.740
_cell_length_b 4.740
_cell_length_c 4.740
_cell_angle_alpha 90.00
_cell_angle_beta 90.00
_cell_angle_gamma 90.00
loop_
_atom_site_label
_atom_site_type_symbol
_atom_site_fract_x
_atom_site_fract_y
_atom_site_fract_z
Re1 Re 0.000 0.000 0.000
Os1 Os 0.000 0.500 0.500
Os2 Os 0.500 0.000 0.500
Os3 Os 0.500 0.500 0.000
I1 I 0.500 0.500 0.500
```

Summary:
symmetry	Pm-3m (221)

Run x
Density functional theory data (PBE) for a relaxed structure of ReOs3I.

```
data_ReOs3I
_chemical_formula_sum 'Re1 Os3 I1'
_space_group_name_H-M_alt 'P 1'
_space_group_IT_number 1
_space_group_name_Hall 'P 1'
_cell_length_a 4.778
_cell_length_b 4.778
_cell_length_c 4.778
_cell_angle_alpha 90.00
_cell_angle_beta 90.00
_cell_angle_gamma 90.00
loop_
_atom_site_label
_atom_site_type_symbol
_atom_site_fract_x
_atom_site_fract_y
_atom_site_fract_z
Re1 Re 0.000 0.000 0.000
Os1 Os 0.000 0.000 0.500
Os2 Os 0.000 0.500 0.000
Os3 Os 0.500 0.000 0.000
I1 I 0.500 0.500 0.500
```

Summary:
symmetry	Pm-3m (221)

Decreasing stability: run x, run w

Run w
Density functional theory data (PBE) for a relaxed structure of Re2OsI.

```
data_Re2OsI
_chemical_formula_sum 'Re4 Os2 I2'
_space_group_name_H-M_alt 'P 1'
_space_group_IT_number 1
_space_group_name_Hall 'P 1'
_cell_length_a 7.024
_cell_length_b 7.024
_cell_length_c 7.024
_cell_angle_alpha 130.65
_cell_angle_beta 130.65
_cell_angle_gamma 72.37
loop_
_atom_site_label
_atom_site_type_symbol
_atom_site_fract_x
_atom_site_fract_y
_atom_site_fract_z
Re1 Re 0.091 0.625 0.966
Re2 Re 0.375 0.341 0.466
Re3 Re 0.659 0.125 0.034
Re4 Re 0.875 0.909 0.534
Os1 Os 0.000 0.000 0.000
Os2 Os 0.750 0.250 0.500
I1 I 0.250 0.750 0.500
I2 I 0.500 0.500 0.000
```

Summary:
symmetry	I-42d (122)

Run x
Density functional theory data (PBE) for a relaxed structure of Re2OsI.

```
data_Re2OsI
_chemical_formula_sum 'Re2 Os1 I1'
_space_group_name_H-M_alt 'P 1'
_space_group_IT_number 1
_space_group_name_Hall 'P 1'
_cell_length_a 4.536
_cell_length_b 4.536
_cell_length_c 4.536
_cell_angle_alpha 60.00
_cell_angle_beta 60.00
_cell_angle_gamma 60.00
loop_
_atom_site_label
_atom_site_type_symbol
_atom_site_fract_x
_atom_site_fract_y
_atom_site_fract_z
Re1 Re 0.250 0.250 0.250
Re2 Re 0.750 0.750 0.750
Os1 Os 0.000 0.000 0.000
I1 I 0.500 0.500 0.500
```

Summary:
symmetry	Fm-3m (225)

Decreasing stability: run x, run w

Run w
Density functional theory data (PBE) for a relaxed structure of ReOs2I.

```
data_ReOs2I
_chemical_formula_sum 'Re2 Os4 I2'
_space_group_name_H-M_alt 'P 1'
_space_group_IT_number 1
_space_group_name_Hall 'P 1'
_cell_length_a 6.771
_cell_length_b 6.771
_cell_length_c 6.771
_cell_angle_alpha 126.82
_cell_angle_beta 126.82
_cell_angle_gamma 78.55
loop_
_atom_site_label
_atom_site_type_symbol
_atom_site_fract_x
_atom_site_fract_y
_atom_site_fract_z
Re1 Re 0.000 0.000 0.000
Re2 Re 0.750 0.250 0.500
Os1 Os 0.095 0.625 0.970
Os2 Os 0.375 0.345 0.470
Os3 Os 0.655 0.125 0.030
Os4 Os 0.875 0.905 0.530
I1 I 0.250 0.750 0.500
I2 I 0.500 0.500 0.000
```

Summary:
symmetry	I-42d (122)

Run x
Density functional theory data (PBE) for a relaxed structure of ReOs2I.

```
data_ReOs2I
_chemical_formula_sum 'Re1 Os2 I1'
_space_group_name_H-M_alt 'P 1'
_space_group_IT_number 1
_space_group_name_Hall 'P 1'
_cell_length_a 4.570
_cell_length_b 4.570
_cell_length_c 4.570
_cell_angle_alpha 60.00
_cell_angle_beta 60.00
_cell_angle_gamma 60.00
loop_
_atom_site_label
_atom_site_type_symbol
_atom_site_fract_x
_atom_site_fract_y
_atom_site_fract_z
Re1 Re 0.000 0.000 0.000
Os1 Os 0.250 0.250 0.250
Os2 Os 0.750 0.750 0.750
I1 I 0.500 0.500 0.500
```

Summary:
symmetry	Fm-3m (225)

Decreasing stability: run w, run x

Run w
Density functional theory data (PBE) for a relaxed structure of ReSb2OsI.

```
data_ReSb2OsI
_chemical_formula_sum 'Re1 Sb2 Os1 I1'
_space_group_name_H-M_alt 'P 1'
_space_group_IT_number 1
_space_group_name_Hall 'P 1'
_cell_length_a 5.069
_cell_length_b 5.069
_cell_length_c 5.579
_cell_angle_alpha 90.00
_cell_angle_beta 90.00
_cell_angle_gamma 90.00
loop_
_atom_site_label
_atom_site_type_symbol
_atom_site_fract_x
_atom_site_fract_y
_atom_site_fract_z
Re1 Re 0.000 0.000 0.000
Sb1 Sb 0.000 0.500 0.500
Sb2 Sb 0.500 0.000 0.500
Os1 Os 0.500 0.500 0.500
I1 I 0.500 0.500 0.000
```

Summary:
symmetry	P4/mmm (123)

Run x
Density functional theory data (PBE) for a relaxed structure of ReSb2OsI.

```
data_ReSb2OsI
_chemical_formula_sum 'Re1 Sb2 Os1 I1'
_space_group_name_H-M_alt 'P 1'
_space_group_IT_number 1
_space_group_name_Hall 'P 1'
_cell_length_a 5.225
_cell_length_b 5.225
_cell_length_c 4.986
_cell_angle_alpha 90.00
_cell_angle_beta 90.00
_cell_angle_gamma 90.00
loop_
_atom_site_label
_atom_site_type_symbol
_atom_site_fract_x
_atom_site_fract_y
_atom_site_fract_z
Re1 Re 0.000 0.000 0.000
Sb1 Sb 0.000 0.500 0.500
Sb2 Sb 0.500 0.000 0.500
Os1 Os 0.000 0.000 0.500
I1 I 0.500 0.500 0.000
```

Summary:
symmetry	P4/mmm (123)

Decreasing stability: run x, run w